First-principles (PBE) data for a geometry-optimized NaBiPb2I8 structure, as listed in Alexandria.

Cell: 7.339 9.434 7.762 Å, 90.00 90.90 90.00°
Space group P2/m (No. 10)
Asymmetric unit:
Na 0.000 0.000 0.000 [1 per cell]
Bi 0.000 0.500 0.000 [1 per cell]
Pb 0.500 0.246 0.500 [2 per cell]
I 0.237 0.500 0.667 [2 per cell]
I 0.241 0.258 0.152 [4 per cell]
I 0.264 0.000 0.657 [2 per cell]

Computed properties:
Total energy   -2.732 eV/atom
Total magnetization   0.000 Bohr magnetons per cell
Uncorrected formation energy   -0.6473 eV per atom